1.
Li5TlIn2 PBE-GGA optimized geometry; formation energy = -0.256 eV per atom
1.0
4.674 0.000 0.000
0.000 4.674 0.000
-2.337 -2.337 6.945
Li Tl In
5 1 2
Cartesian
2.337 2.337 0.000
2.337 0.000 5.248
0.000 2.337 5.248
0.000 2.337 1.697
2.337 0.000 1.697
0.000 0.000 0.000
2.337 2.337 3.406
0.000 0.000 3.539

---

2.
K2LiHgH PBE-GGA optimized geometry; polymorph energy (0 for the lowest one) = 69 meV/atom
1.0
-5.710 1.264 3.183
1.300 -1.411 2.892
2.347 5.950 1.848
H K Hg Li
1 2 1 1
Cartesian
0.650 -0.705 1.446
1.174 2.975 0.924
-2.855 0.632 1.591
-1.032 2.902 3.961
0.000 0.000 0.000

---

3.
BeCuSi2 PBE-GGA optimized geometry; ΔE_f (raw) = 0.26 eV/atom
1.0
4.120 -0.171 0.127
3.334 2.426 0.127
0.644 0.195 4.706
Be Si Cu
1 2 1
Cartesian
4.061 1.229 2.367
7.442 2.251 0.355
6.106 1.847 3.589
1.993 0.603 1.380

---

Here are the calculated energy numbers, same order: -2.43 -1.55 -4.41 (eV per atom).